# 1
# Rb2PbN (PBE, relaxed)
# * formation energy (no corrections): 1.142 eV/atom
# * raw total energy: -9.40 eV per formula unit
# * excess energy over the best structure of this formula in the dataset: 690 meV per atom
data_Rb2PbN
_cell_length_a 8.092
_cell_length_b 8.092
_cell_length_c 8.092
_cell_angle_alpha 90.00
_cell_angle_beta 90.00
_cell_angle_gamma 90.00
_symmetry_space_group_name_H-M 'F m -3 m'
_symmetry_Int_Tables_number 225
_symmetry_space_group_name_Hall '-F 4 2 3'
loop_
_atom_site_label
_atom_site_fract_x
_atom_site_fract_y
_atom_site_fract_z
_atom_site_occupancy
Rb1 0.250 0.250 0.250 1
Pb1 0.000 0.000 0.000 1
N1 0.000 0.000 0.500 1



# 2
# Rb2PbN (PBE, relaxed)
# * formation energy (no corrections): 0.452 eV/atom
# * raw total energy: -12.16 eV per formula unit
# * excess energy over the best structure of this formula in the dataset: 0 meV per atom
data_Rb2PbN
_cell_length_a 12.500
_cell_length_b 12.500
_cell_length_c 4.612
_cell_angle_alpha 90.00
_cell_angle_beta 90.00
_cell_angle_gamma 90.00
_symmetry_space_group_name_H-M 'I -4 2 d'
_symmetry_Int_Tables_number 122
_symmetry_space_group_name_Hall 'I -4 2bw'
loop_
_atom_site_label
_atom_site_fract_x
_atom_site_fract_y
_atom_site_fract_z
_atom_site_occupancy
Rb1 0.045 0.250 0.125 1
Pb1 0.000 0.000 0.500 1
N1 0.000 0.000 0.000 1



# 3
# RbPbN3 (PBE, relaxed)
# * formation energy (no corrections): 2.818 eV/atom
# * raw total energy: -15.56 eV per formula unit
data_RbPbN3
_cell_length_a 4.527
_cell_length_b 4.527
_cell_length_c 4.527
_cell_angle_alpha 90.00
_cell_angle_beta 90.00
_cell_angle_gamma 90.00
_symmetry_space_group_name_H-M 'P m -3 m'
_symmetry_Int_Tables_number 221
_symmetry_space_group_name_Hall '-P 4 2 3'
loop_
_atom_site_label
_atom_site_fract_x
_atom_site_fract_y
_atom_site_fract_z
_atom_site_occupancy
Rb1 0.000 0.000 0.000 1
Pb1 0.500 0.500 0.500 1
N1 0.000 0.000 0.500 1



# 4
# RbPbN2 (PBE, relaxed)
# * formation energy (no corrections): 0.019 eV/atom
# * raw total energy: -21.25 eV per formula unit
data_RbPbN2
_cell_length_a 5.890
_cell_length_b 17.275
_cell_length_c 5.877
_cell_angle_alpha 90.00
_cell_angle_beta 91.58
_cell_angle_gamma 90.00
_symmetry_space_group_name_H-M 'C 1 2/c 1'
_symmetry_Int_Tables_number 15
loop_
_symmetry_equiv_pos_as_xyz
'x,y,z'
'-x,-y,-z'
'-x,y,-z+1/2'
'x,-y,z+1/2'
'x+1/2,y+1/2,z'
'-x+1/2,-y+1/2,-z'
'-x+1/2,y+1/2,-z+1/2'
'x+1/2,-y+1/2,z+1/2'
loop_
_atom_site_label
_atom_site_fract_x
_atom_site_fract_y
_atom_site_fract_z
_atom_site_occupancy
Rb1 0.000 0.127 0.250 1
Pb1 0.000 0.500 0.000 1
N1 0.096 0.244 0.751 1